1.
# BeSe (GGA-PBE, optimized geometry)
data_BeSe
_chemical_formula_sum 'Be2 Se2'
_symmetry_space_group_name_H-M 'P 1'
_symmetry_Int_Tables_number 1
_cell_length_a 3.654
_cell_length_b 3.654
_cell_length_c 6.022
_cell_angle_alpha 90.00
_cell_angle_beta 90.00
_cell_angle_gamma 120.00
loop_
_symmetry_equiv_pos_as_xyz
'x,y,z'
loop_
_atom_site_label
_atom_site_fract_x
_atom_site_fract_y
_atom_site_fract_z
Be1 0.333 0.667 0.622
Be2 0.667 0.333 0.122
Se1 0.333 0.667 0.249
Se2 0.667 0.333 0.749
# energy above the most stable polymorph in this dataset: 0.012 eV/f.u.
# energy: -4.404 eV/atom

---

2.
# BeSe (GGA-PBE, optimized geometry)
data_BeSe
_chemical_formula_sum 'Be4 Se4'
_symmetry_space_group_name_H-M 'P 1'
_symmetry_Int_Tables_number 1
_cell_length_a 3.608
_cell_length_b 5.730
_cell_length_c 9.274
_cell_angle_alpha 90.00
_cell_angle_beta 90.00
_cell_angle_gamma 90.00
loop_
_symmetry_equiv_pos_as_xyz
'x,y,z'
loop_
_atom_site_label
_atom_site_fract_x
_atom_site_fract_y
_atom_site_fract_z
Be1 0.750 0.952 0.270
Be2 0.250 0.452 0.230
Be3 0.750 0.548 0.770
Be4 0.250 0.048 0.730
Se1 0.750 0.280 0.161
Se2 0.250 0.780 0.339
Se3 0.750 0.220 0.661
Se4 0.250 0.720 0.839
# energy above the most stable polymorph in this dataset: 0.404 eV/f.u.
# energy: -4.208 eV/atom

---

3.
# Be3Se (GGA-PBE, optimized geometry)
data_Be3Se
_chemical_formula_sum 'Be3 Se1'
_symmetry_space_group_name_H-M 'P 1'
_symmetry_Int_Tables_number 1
_cell_length_a 4.841
_cell_length_b 4.841
_cell_length_c 4.841
_cell_angle_alpha 45.10
_cell_angle_beta 45.10
_cell_angle_gamma 45.10
loop_
_symmetry_equiv_pos_as_xyz
'x,y,z'
loop_
_atom_site_label
_atom_site_fract_x
_atom_site_fract_y
_atom_site_fract_z
Be1 0.815 0.815 0.815
Be2 0.500 0.500 0.500
Be3 0.185 0.185 0.185
Se1 0.000 0.000 0.000
# energy above the most stable polymorph in this dataset: 1.410 eV/f.u.
# energy: -3.261 eV/atom

---

4.
# BeSe (GGA-PBE, optimized geometry)
data_BeSe
_chemical_formula_sum 'Be3 Se3'
_symmetry_space_group_name_H-M 'P 1'
_symmetry_Int_Tables_number 1
_cell_length_a 6.545
_cell_length_b 6.545
_cell_length_c 6.545
_cell_angle_alpha 147.74
_cell_angle_beta 125.74
_cell_angle_gamma 64.55
loop_
_symmetry_equiv_pos_as_xyz
'x,y,z'
loop_
_atom_site_label
_atom_site_fract_x
_atom_site_fract_y
_atom_site_fract_z
Be1 0.607 0.684 0.924
Be2 0.473 0.000 0.473
Be3 0.240 0.316 0.924
Se1 0.818 0.184 0.634
Se2 0.243 0.500 0.743
Se3 0.451 0.816 0.634
# energy above the most stable polymorph in this dataset: 0.318 eV/f.u.
# energy: -4.251 eV/atom